Record 1
Computed, not measured: a geometry-optimized NdGd2N3 structure at the PBE-GGA level of DFT.

a = 3.549 Å, b = 3.549 Å, c = 8.697 Å
α = 90.00°, β = 90.00°, γ = 120.00°
Fractional positions:
1 Nd 0.000 0.000 0.500
2 N 0.667 0.333 0.674
3 N 0.333 0.667 0.326
4 N 0.000 0.000 0.000
5 Gd 0.333 0.667 0.837
6 Gd 0.667 0.333 0.163

## Properties
The calculation puts the calculated volume at 94.85 Å³/f.u. As for the total moment: 0.001 μB per cell.


Record 2
Computed, not measured: a geometry-optimized GdHoIn structure at the PBE-GGA level of DFT.

a = 5.186 Å, b = 5.186 Å, c = 5.186 Å
α = 60.00°, β = 60.00°, γ = 60.00°
Fractional positions:
1 Gd 0.250 0.250 0.250
2 In 0.000 0.000 0.000
3 Ho 0.750 0.750 0.750

## Properties
The calculation puts the calculated volume at 98.62 Å³/f.u. For the energy above the most stable polymorph in this dataset, the calculation gives 0.260 eV/atom. As for the total moment: 0.046 μB per cell.


Record 3
Computed, not measured: a geometry-optimized PrGdIn6 structure at the PBE-GGA level of DFT.

a = 6.795 Å, b = 6.795 Å, c = 5.139 Å
α = 90.00°, β = 90.00°, γ = 120.00°
Fractional positions:
1 In 0.021 0.510 0.000
2 In 0.490 0.979 0.000
3 In 0.490 0.510 0.000
4 In 0.174 0.826 0.500
5 In 0.174 0.347 0.500
6 In 0.653 0.826 0.500
7 Gd 0.000 0.000 0.000
8 Pr 0.667 0.333 0.500

## Properties
The calculation puts the calculated volume at 205.52 Å³/f.u. As for the total moment: 0.009 μB per cell.


Record 4
Computed, not measured: a geometry-optimized YGaFePd structure at the PBE-GGA level of DFT.

a = 4.682 Å, b = 4.682 Å, c = 4.682 Å
α = 60.00°, β = 60.00°, γ = 60.00°
Fractional positions:
1 Pd 0.500 0.500 0.500
2 Fe 0.750 0.750 0.750
3 Y 0.250 0.250 0.250
4 Ga 0.000 0.000 0.000

## Properties
The calculation puts the calculated volume at 72.60 Å³/f.u. For the energy above the most stable polymorph in this dataset, the calculation gives 0.070 eV/atom. As for the total moment: 2.752 μB per cell.


no.,E_tot (Ha/atom)
1,-0.295
2,-0.150
3,-0.134
4,-0.220